## NaAlCl2 (GGA-PBEsol)

Data for a relaxed structure of NaAlCl2.

Lattice parameters (Å, degrees): 3.4648 3.4648 8.4534 78.17 78.17 60.00
Last column: nearest neighbours and their distance in Å.
Atoms (fractional coordinates):
Cl (0.9045, 0.9045, 0.2864)  1 Al 2.35
Al (0.0000, 0.0000, 0.0000)  2 Cl 2.35
Cl (0.0955, 0.0955, 0.7136)  1 Al 2.35
Na (0.5000, 0.5000, 0.5000)  6 Cl 2.66

Calculated values
energy above the lowest structure with this stoichiometry	0.000	eV per atom
formation energy without anion corrections	-0.97	eV per atom
volume	21.35	A^3/atom